1.
Entry from Alexandria via LeMat-Bulk: a geometry-optimized BaCa2Tl structure (PBE).

```
4
Lattice="3.738 -6.373 0.000 3.738 6.373 0.000 -1.887 0.000 3.367" Properties=species:S:1:pos:R:3 pbc="T T T"
Ba 0.000 0.000 0.000
Ca 0.925 3.187 1.684
Ca 0.925 -3.187 1.684
Tl 3.738 0.000 0.000
```

Output
energy above the lowest structure with this stoichiometry = 196 meV per atom
SG = C2/m (12)
ΔE_f = -0.06 eV per atom
size of the total moment = 0.000 μB per formula unit

***

2.
Entry from Alexandria via LeMat-Bulk: a geometry-optimized BeAl2As structure (PBE).

```
4
Lattice="2.847 0.000 0.000 0.000 3.618 0.000 -0.002 0.000 6.282" Properties=species:S:1:pos:R:3 pbc="T T T"
Be 0.000 0.000 0.000
Al 0.001 0.000 2.798
Al 1.424 1.809 1.107
As 2.840 1.809 4.908
```

Output
energy above the lowest structure with this stoichiometry = 85 meV per atom
SG = Pm (6)
ΔE_f = 0.16 eV per atom
size of the total moment = 0.000 μB per formula unit

***

3.
Entry from Alexandria via LeMat-Bulk: a geometry-optimized K2AgPt structure (PBE).

```
4
Lattice="2.919 -4.268 0.000 2.919 4.268 0.000 -0.021 0.000 4.400" Properties=species:S:1:pos:R:3 pbc="T T T"
K 1.460 2.134 0.000
K 1.460 -2.134 0.000
Ag -0.011 0.000 2.200
Pt 2.908 0.000 2.200
```

Output
energy above the lowest structure with this stoichiometry = 155 meV per atom
SG = C2/m (12)
ΔE_f = 0.18 eV per atom
size of the total moment = 0.000 μB per formula unit

***

4.
Entry from Alexandria via LeMat-Bulk: a geometry-optimized Ho4Tm3Pu structure (PBE).

```
16
Lattice="11.136 0.000 0.000 0.000 7.102 0.000 0.000 0.000 6.127" Properties=species:S:1:pos:R:3 pbc="T T T"
Ho 0.000 0.912 6.126
Ho 0.000 6.192 3.064
Ho 2.761 0.912 2.086
Ho 2.807 6.191 5.149
Ho 5.568 0.910 0.000
Ho 5.568 6.191 3.062
Ho 8.329 6.191 5.149
Ho 8.375 0.912 2.086
Tm 0.000 4.403 0.020
Tm 2.787 2.682 5.101
Tm 2.781 4.420 2.037
Tm 5.568 2.699 3.083
Tm 8.349 2.682 5.101
Tm 8.355 4.420 2.037
Pu 0.000 2.663 3.066
Pu 5.568 4.439 0.003
```

Output
energy above the lowest structure with this stoichiometry = 0 meV per atom
SG = Pmn2_1 (31)
ΔE_f = 0.04 eV per atom
size of the total moment = 6.725 μB per formula unit

***

5.
Entry from Alexandria via LeMat-Bulk: a geometry-optimized Sr3HfHg structure (PBE).

```
5
Lattice="6.098 0.000 0.000 0.000 6.098 0.000 0.000 0.000 6.098" Properties=species:S:1:pos:R:3 pbc="T T T"
Sr 0.000 0.000 3.049
Sr 0.000 3.049 0.000
Sr 3.049 0.000 0.000
Hf 3.049 3.049 3.049
Hg 0.000 0.000 0.000
```

Output
energy above the lowest structure with this stoichiometry = 0 meV per atom
SG = Pm-3m (221)
ΔE_f = 0.61 eV per atom
size of the total moment = 2.885 μB per formula unit

***

6.
Entry from Alexandria via LeMat-Bulk: a geometry-optimized K2SiH structure (PBE).

```
8
Lattice="-3.813 3.813 4.333 3.813 -3.813 4.333 3.813 3.813 -4.333" Properties=species:S:1:pos:R:3 pbc="T T T"
K 5.719 1.203 -1.083
K 1.203 1.906 1.083
K -1.906 2.610 3.249
K 2.610 1.906 5.416
Si 3.813 0.000 2.166
Si 0.000 0.000 4.333
H 0.000 0.000 0.000
H 0.000 3.813 2.166
```

Output
energy above the lowest structure with this stoichiometry = 0 meV per atom
SG = I-42d (122)
size of the total moment = 0.000 μB per formula unit

***

> Number 2 is which compound?

BeAl2As

***

> Number 5 is which compound?

Sr3HfHg